[1]
Entry from Alexandria via LeMat-Bulk: a relaxed Li2Al6Zn crystal (GGA-PBE).

The space group is C2/m (No. 12) and the conventional cell measures 11.946, 4.132 and 6.285 Å, with angles of 90.00, 109.17 and 90.00 degrees. The distinct sites, in fractional coordinates, are Li at (0.054, 0.000, 0.326), Al at (0.115, 0.500, 0.671), Al at (0.164, 0.000, 0.998), Al at (0.223, 0.500, 0.334) and Zn at (0.000, 0.500, 0.000).

The calculation puts the volume at 293 Å³/cell. The total energy comes out at -3.13 eV/atom. The density of states at the Fermi level comes out at 6.4 states/eV/cell.

[2]
Entry from Alexandria via LeMat-Bulk: a relaxed Ac2Zn3CdPd4 crystal (GGA-PBE).

The space group is P-4m2 (No. 115) and the conventional cell measures 4.420, 4.420 and 10.951 Å, with angles of 90.00, 90.00 and 90.00 degrees. The distinct sites, in fractional coordinates, are Ac at (0.000, 0.500, 0.239), Zn at (0.000, 0.500, 0.881), Zn at (0.500, 0.500, 0.500), Cd at (0.000, 0.000, 0.500), Pd at (0.000, 0.000, 0.000), Pd at (0.000, 0.500, 0.649) and Pd at (0.500, 0.500, 0.000).

The calculation puts the volume at 214 Å³/cell. The total energy comes out at -3.99 eV/atom. The density of states at the Fermi level comes out at 7.2 states/eV/cell.

[3]
Entry from Alexandria via LeMat-Bulk: a relaxed YGa2Co2H crystal (GGA-PBE).

The space group is P4/mmm (No. 123) and the conventional cell measures 3.895, 3.895 and 5.321 Å, with angles of 90.00, 90.00 and 90.00 degrees. The distinct sites, in fractional coordinates, are Y at (0.000, 0.000, 0.000), Ga at (0.500, 0.500, 0.238), Co at (0.000, 0.500, 0.500) and H at (0.000, 0.000, 0.500).

The calculation puts the volume at 81 Å³/cell. The total energy comes out at -5.41 eV/atom. The density of states at the Fermi level comes out at 2.9 states/eV/cell.

[4]
Entry from Alexandria via LeMat-Bulk: a relaxed TeRu crystal (GGA-PBE).

The space group is Pm-3n (No. 223) and the conventional cell measures 7.242, 7.242 and 7.242 Å, with angles of 90.00, 90.00 and 90.00 degrees. The distinct sites, in fractional coordinates, are Te at (0.000, 0.250, 0.500) and Ru at (0.000, 0.500, 0.250).

The calculation puts the volume at 380 Å³/cell. The total energy comes out at -5.70 eV/atom. The density of states at the Fermi level comes out at 10.7 states/eV/cell.

[5]
Entry from Alexandria via LeMat-Bulk: a relaxed SnPPtS2 crystal (GGA-PBE).

The space group is P4/mmm (No. 123) and the conventional cell measures 5.076, 5.076 and 4.368 Å, with angles of 90.00, 90.00 and 90.00 degrees. The distinct sites, in fractional coordinates, are Sn at (0.000, 0.000, 0.000), P at (0.500, 0.500, 0.000), Pt at (0.500, 0.500, 0.500) and S at (0.000, 0.500, 0.500).

The calculation puts the volume at 113 Å³/cell. The total energy comes out at -4.43 eV/atom. The density of states at the Fermi level comes out at 2.4 states/eV/cell. The calculation puts the energy above the most stable polymorph in this dataset at 0 meV/atom.

[6]
Entry from Alexandria via LeMat-Bulk: a relaxed TaInMo crystal (GGA-PBE).

The space group is I4mm (No. 107) and the conventional cell measures 3.437, 3.437 and 9.378 Å, with angles of 90.00, 90.00 and 90.00 degrees. The distinct sites, in fractional coordinates, are Ta at (0.000, 0.000, 0.000), In at (0.000, 0.000, 0.314) and Mo at (0.000, 0.000, 0.635).

The calculation puts the volume at 111 Å³/cell. The total energy comes out at -8.39 eV/atom. The density of states at the Fermi level comes out at 2.5 states/eV/cell. The calculation puts the energy above the most stable polymorph in this dataset at 0 meV/atom.